Entry 1:
Below is a crystal of Hf2BeIn relaxed with PBEsol, with properties calculated at the meta-GGA SCAN level.

Lattice parameters (Å, degrees): 4.691 4.691 4.691 60.00 60.00 60.00
Positions (direct):
Hf: 0.750 0.750 0.750
In: 0.500 0.500 0.500
Hf: 0.250 0.250 0.250
Be: 0.000 0.000 0.000

## Properties
Formation energy   0.054 eV per atom
Uncorrected energy   -40.718 eV per atom
Calculated volume   18.252 Å³/atom

=====

Entry 2:
Below is a crystal of Hf2BeInSe relaxed with PBEsol, with properties calculated at the meta-GGA SCAN level.

Lattice parameters (Å, degrees): 4.129 4.943 4.943 90.00 90.00 90.00
Positions (direct):
Be: 0.500 0.000 0.000
Hf: 0.000 0.500 0.000
Se: 0.000 0.000 0.000
Hf: 0.000 0.000 0.500
In: 0.500 0.500 0.500

## Properties
Uncorrected energy   -36.410 eV per atom
Formation energy (no corrections)   0.223 eV per atom
Calculated volume   20.172 Å³/atom